# 1
An optimized crystal structure of LiTe2Au, computed with PBE-GGA.

Lattice parameters (Å, degrees): 4.3193 4.3193 7.5922 90.00 90.00 123.42
Closest atoms and distances in Å follow each position.
Positions (direct):
Li (0.5000, 0.5000, 0.7500)  4 Te 2.87
Te (0.0000, 0.0000, 0.0150)  2 Au 2.72, 2 Li 2.87
Te (0.0000, 0.0000, 0.4850)  2 Au 2.72, 2 Li 2.87
Au (0.5000, 0.5000, 0.2500)  4 Te 2.72

Formation energy from raw total energies = -150 meV/atom
DOS(E_F) = 2.44 states/eV/f.u.

# 2
An optimized crystal structure of Ac2HRh, computed with PBE-GGA.

Lattice parameters (Å, degrees): 5.1653 5.1653 5.1653 60.00 60.00 60.00
Closest atoms and distances in Å follow each position.
Positions (direct):
Ac (0.7500, 0.7500, 0.7500)  4 Rh 3.16, 4 H 3.16
Ac (0.2500, 0.2500, 0.2500)  4 H 3.16, 4 Rh 3.16
H (0.0000, 0.0000, 0.0000)  8 Ac 3.16
Rh (0.5000, 0.5000, 0.5000)  8 Ac 3.16

DOS(E_F) = 3.54 states/eV/f.u.
E above lowest polymorph = 0.274 eV per atom

# 3
An optimized crystal structure of CoRePb2, computed with PBE-GGA.

Lattice parameters (Å, degrees): 3.0713 3.0713 9.1085 90.00 90.00 90.00
Closest atoms and distances in Å follow each position.
Positions (direct):
Pb (0.5000, 0.5000, 0.3166)  4 Pb 3.07, 4 Re 3.12
Pb (0.0000, 0.0000, 0.9215)  4 Co 2.97, 4 Pb 3.07, 1 Re 3.28
Re (0.0000, 0.0000, 0.5620)  4 Co 2.51
Co (0.5000, 0.5000, 0.6999)  4 Re 2.51

DOS(E_F) = 3.48 states/eV/f.u.
E above lowest polymorph = 0.000 eV per atom

# 4
An optimized crystal structure of Ni2Pd3Pt8, computed with PBE-GGA.

Lattice parameters (Å, degrees): 4.0964 6.9773 8.1613 115.31 90.01 90.00
Closest atoms and distances in Å follow each position.
Positions (direct):
Pt (0.5002, 0.3994, 0.2537)  2 Ni 2.51-2.55, 4 Pt 2.65-2.80, 3 Pd 2.67-2.78
Pt (0.9998, 0.3370, 0.6739)  2 Ni 2.51, 4 Pt 2.65, 2 Pd 2.81
Pt (0.9998, 0.1366, 0.2732)  2 Ni 2.54, 4 Pt 2.80
Pt (0.0002, 0.6630, 0.3261)  2 Ni 2.51, 4 Pt 2.65, 2 Pd 2.81
Pt (0.4998, 0.6006, 0.7463)  2 Ni 2.51-2.55, 4 Pt 2.65-2.80, 3 Pd 2.67-2.78
Pt (0.5002, 0.8543, 0.2537)  2 Ni 2.51-2.55, 4 Pt 2.65-2.80, 3 Pd 2.67-2.78
Pt (0.0001, 0.8634, 0.7268)  2 Ni 2.54, 4 Pt 2.80
Pt (0.4998, 0.1457, 0.7463)  2 Ni 2.51-2.55, 4 Pt 2.65-2.80, 3 Pd 2.67-2.78
Ni (0.4997, 0.2383, 0.4766)  8 Pt 2.51-2.55
Ni (0.5003, 0.7617, 0.5234)  8 Pt 2.51-2.55
Pd (0.0000, 0.7092, 0.0000)  8 Pt 2.78-2.86, 3 Pd 2.88-2.92
Pd (0.0000, 0.2908, 0.0000)  8 Pt 2.78-2.86, 3 Pd 2.88-2.92
Pd (0.5000, 0.0000, 0.0000)  8 Pt 2.67-2.87, 4 Pd 2.88

DOS(E_F) = 20.27 states/eV/f.u.
Uncorrected energy = -5.666 eV per atom

# 5
An optimized crystal structure of Mg2CoTcGe, computed with PBE-GGA.

Lattice parameters (Å, degrees): 4.8455 4.2787 4.8455 90.00 90.00 90.00
Closest atoms and distances in Å follow each position.
Positions (direct):
Tc (0.5000, 0.5000, 0.5000)  8 Mg 3.23, 4 Co 3.43
Ge (0.0000, 0.0000, 0.0000)  2 Co 2.14
Mg (0.0000, 0.0000, 0.5000)  2 Ge 2.42
Mg (0.5000, 0.0000, 0.0000)  2 Ge 2.42
Co (0.0000, 0.5000, 0.0000)  2 Ge 2.14

DOS(E_F) = 3.92 states/eV/f.u.
Uncorrected energy = -4.099 eV per atom

# 6
An optimized crystal structure of YThOsRu, computed with PBE-GGA.

Lattice parameters (Å, degrees): 4.9361 4.9361 4.9361 60.00 60.00 60.00
Closest atoms and distances in Å follow each position.
Positions (direct):
Y (0.5000, 0.5000, 0.5000)  4 Ru 3.02, 4 Os 3.02
Ru (0.7500, 0.7500, 0.7500)  4 Th 3.02, 4 Y 3.02
Os (0.2500, 0.2500, 0.2500)  4 Th 3.02, 4 Y 3.02
Th (0.0000, 0.0000, 0.0000)  4 Os 3.02, 4 Ru 3.02

DOS(E_F) = 3.97 states/eV/f.u.
Uncorrected energy = -8.880 eV per atom

# 7
An optimized crystal structure of NdTh5Pt6, computed with PBE-GGA.

Lattice parameters (Å, degrees): 7.2047 7.2047 7.3434 99.32 99.32 119.58
Closest atoms and distances in Å follow each position.
Positions (direct):
Nd (0.0000, 0.0000, 0.0000)  6 Pt 3.01
Th (0.8331, 0.1669, 0.5000)  6 Pt 2.93-2.97
Th (0.3331, 0.6669, 0.0000)  6 Pt 2.96-2.97
Th (0.6669, 0.3331, 0.0000)  6 Pt 2.96-2.97
Th (0.1669, 0.8331, 0.5000)  6 Pt 2.93-2.97
Th (0.5000, 0.5000, 0.5000)  6 Pt 2.92-2.97
Pt (0.5775, 0.9153, 0.7471)  5 Th 2.93-2.97, 1 Nd 3.01
Pt (0.7463, 0.7463, 0.2533)  5 Th 2.92-2.97, 1 Nd 3.01
Pt (0.4225, 0.0847, 0.2529)  5 Th 2.93-2.97, 1 Nd 3.01
Pt (0.9153, 0.5775, 0.7471)  5 Th 2.93-2.97, 1 Nd 3.01
Pt (0.2537, 0.2537, 0.7467)  5 Th 2.92-2.97, 1 Nd 3.01
Pt (0.0847, 0.4225, 0.2529)  5 Th 2.93-2.97, 1 Nd 3.01

DOS(E_F) = 6.67 states/eV/f.u.
Uncorrected energy = -7.695 eV per atom

# 8
An optimized crystal structure of LiDy2Te, computed with PBE-GGA.

Lattice parameters (Å, degrees): 3.8551 3.8551 10.9045 79.82 79.82 60.00
Closest atoms and distances in Å follow each position.
Positions (direct):
Li (0.0000, 0.0000, 0.0000)  2 Dy 3.30
Te (0.5000, 0.5000, 0.5000)  6 Dy 3.02
Dy (0.1032, 0.1032, 0.6905)  3 Te 3.02, 1 Li 3.30
Dy (0.8968, 0.8968, 0.3095)  3 Te 3.02, 1 Li 3.30

Formation energy from raw total energies = -218 meV/atom
DOS(E_F) = 3.49 states/eV/f.u.
E above lowest polymorph = 0.316 eV per atom

Number 1: ρ 6.45 g/cm3. Number 2: ρ 9.51 g/cm3. Number 3: ρ 12.75 g/cm3. Number 4: ρ 15.73 g/cm3. Number 5: ρ 4.60 g/cm3. Number 6: ρ 11.95 g/cm3. Number 7: ρ 13.09 g/cm3. Number 8: ρ 5.55 g/cm3.